# 1
Computed, not measured: an optimized crystal structure of CaBeI2O at the PBE-GGA level of DFT.

Cell and atoms, written as POSCAR:
```
CaBeI2O
1.0
5.9856 0.0000 0.0000
0.0000 5.9856 0.0000
0.0000 0.0000 3.2333
Ca Be I O
1 1 2 1
Cartesian
0.0000 0.0000 0.0000
2.9928 2.9928 1.6166
0.0000 2.9928 1.6166
2.9928 0.0000 1.6166
2.9928 2.9928 0.0000
```

Computed properties:
total magnetization: 0.000 μB/cell
relative energy among the computed polymorphs: 0 meV per atom
space group: P4/mmm (123)

# 2
Computed, not measured: an optimized crystal structure of CaBeOs2I at the PBE-GGA level of DFT.

Cell and atoms, written as POSCAR:
```
CaBeOs2I
1.0
4.8719 0.0000 0.0000
0.0000 4.8719 0.0000
0.0000 0.0000 5.4332
Ca Be Os I
1 1 2 1
Cartesian
0.0000 0.0000 0.0000
2.4359 2.4359 0.0000
0.0000 2.4359 2.7166
2.4359 0.0000 2.7166
0.0000 0.0000 2.7166
```

Computed properties:
total magnetization: 0.173 μB/cell
space group: P4/mmm (123)
electronic total energy: -18.82 eV/cell

# 3
Computed, not measured: an optimized crystal structure of Rb2CaBeI6 at the PBE-GGA level of DFT.

Cell and atoms, written as POSCAR:
```
Rb2CaBeI6
1.0
-4.1423 4.1423 5.8279
4.1423 -4.1423 5.8279
4.1423 4.1423 -5.8279
Rb Ca Be I
2 1 1 6
Cartesian
4.1423 0.0000 2.9140
0.0000 4.1423 2.9140
0.0000 0.0000 0.0000
0.0000 0.0000 5.8279
2.2000 2.2000 0.0000
1.9423 -1.9423 5.8279
0.0000 0.0000 3.1164
0.0000 0.0000 8.5394
-1.9423 1.9423 5.8279
1.9423 1.9423 5.8279
```

Computed properties:
total magnetization: 0.000 μB/cell
space group: I4/mmm (139)
electronic total energy: -27.80 eV/cell

# 4
Computed, not measured: an optimized crystal structure of CaBeSbI2 at the PBE-GGA level of DFT.

Cell and atoms, written as POSCAR:
```
CaBeSbI2
1.0
5.0192 0.0000 0.0000
0.0000 5.0192 0.0000
0.0000 0.0000 6.4232
Ca Be Sb I
1 1 1 2
Cartesian
0.0000 0.0000 0.0000
0.0000 0.0000 3.2116
2.5096 2.5096 0.0000
0.0000 2.5096 3.2116
2.5096 0.0000 3.2116
```

Computed properties:
total magnetization: 0.000 μB/cell
relative energy among the computed polymorphs: 342 meV per atom
space group: P4/mmm (123)

# 5
Computed, not measured: an optimized crystal structure of CaBeSbI2 at the PBE-GGA level of DFT.

Cell and atoms, written as POSCAR:
```
CaBeSbI2
1.0
5.9904 0.0000 0.0000
0.0000 5.9904 0.0000
0.0000 0.0000 6.4251
Ca Be Sb I
1 1 1 2
Cartesian
0.0000 0.0000 0.0000
2.9952 2.9952 3.2125
0.0000 0.0000 3.2125
0.0000 2.9952 0.0000
2.9952 0.0000 0.0000
```

Computed properties:
total magnetization: 1.734 μB/cell
relative energy among the computed polymorphs: 524 meV per atom
space group: P4/mmm (123)

# 6
Computed, not measured: an optimized crystal structure of CaBeSb2I at the PBE-GGA level of DFT.

Cell and atoms, written as POSCAR:
```
CaBeSb2I
1.0
5.9610 0.0000 0.0000
0.0000 5.9610 0.0000
0.0000 0.0000 5.8793
Ca Be Sb I
1 1 2 1
Cartesian
0.0000 0.0000 0.0000
2.9805 2.9805 2.9397
0.0000 2.9805 0.0000
2.9805 0.0000 0.0000
0.0000 0.0000 2.9397
```

Computed properties:
total magnetization: 1.488 μB/cell
relative energy among the computed polymorphs: 937 meV per atom
space group: P4/mmm (123)

# 7
Computed, not measured: an optimized crystal structure of CaBeSb2I at the PBE-GGA level of DFT.

Cell and atoms, written as POSCAR:
```
CaBeSb2I
1.0
4.7873 0.0000 0.0000
0.0000 4.7873 0.0000
0.0000 0.0000 6.4872
Ca Be Sb I
1 1 2 1
Cartesian
0.0000 0.0000 0.0000
2.3936 2.3936 3.2436
0.0000 2.3936 3.2436
2.3936 0.0000 3.2436
2.3936 2.3936 0.0000
```

Computed properties:
total magnetization: 0.000 μB/cell
relative energy among the computed polymorphs: 0 meV per atom
space group: P4/mmm (123)

# 8
Computed, not measured: an optimized crystal structure of CaBeSbI2 at the PBE-GGA level of DFT.

Cell and atoms, written as POSCAR:
```
CaBeSbI2
1.0
5.3778 0.0000 0.0000
0.0000 5.3778 0.0000
0.0000 0.0000 5.1017
Ca Be Sb I
1 1 1 2
Cartesian
0.0000 0.0000 0.0000
2.6889 2.6889 2.5508
2.6889 2.6889 0.0000
0.0000 2.6889 2.5508
2.6889 0.0000 2.5508
```

Computed properties:
total magnetization: 0.000 μB/cell
relative energy among the computed polymorphs: 0 meV per atom
space group: P4/mmm (123)

# 9
Computed, not measured: an optimized crystal structure of CaBeTe2I at the PBE-GGA level of DFT.

Cell and atoms, written as POSCAR:
```
CaBeTe2I
1.0
5.0130 0.0000 0.0000
0.0000 5.0130 0.0000
0.0000 0.0000 5.8317
Ca Be Te I
1 1 2 1
Cartesian
0.0000 0.0000 0.0000
2.5065 2.5065 2.9159
0.0000 2.5065 2.9159
2.5065 0.0000 2.9159
2.5065 2.5065 0.0000
```

Computed properties:
total magnetization: 0.000 μB/cell
relative energy among the computed polymorphs: 0 meV per atom
space group: P4/mmm (123)

# 10
Computed, not measured: an optimized crystal structure of CaBeTeI2 at the PBE-GGA level of DFT.

Cell and atoms, written as POSCAR:
```
CaBeTeI2
1.0
5.9661 0.0000 0.0000
0.0000 5.9661 0.0000
0.0000 0.0000 6.2044
Ca Be Te I
1 1 1 2
Cartesian
0.0000 0.0000 0.0000
2.9830 2.9830 3.1022
0.0000 0.0000 3.1022
0.0000 2.9830 0.0000
2.9830 0.0000 0.0000
```

Computed properties:
total magnetization: 0.001 μB/cell
relative energy among the computed polymorphs: 617 meV per atom
space group: P4/mmm (123)

# 11
Computed, not measured: an optimized crystal structure of CaBeTe2I at the PBE-GGA level of DFT.

Cell and atoms, written as POSCAR:
```
CaBeTe2I
1.0
5.9587 0.0000 0.0000
0.0000 5.9587 0.0000
0.0000 0.0000 5.9116
Ca Be Te I
1 1 2 1
Cartesian
0.0000 0.0000 0.0000
2.9793 2.9793 2.9558
0.0000 2.9793 0.0000
2.9793 0.0000 0.0000
0.0000 0.0000 2.9558
```

Computed properties:
total magnetization: 0.000 μB/cell
relative energy among the computed polymorphs: 823 meV per atom
space group: P4/mmm (123)

# 12
Computed, not measured: an optimized crystal structure of CaBeTeI2 at the PBE-GGA level of DFT.

Cell and atoms, written as POSCAR:
```
CaBeTeI2
1.0
5.2539 0.0000 0.0000
0.0000 5.2539 0.0000
0.0000 0.0000 5.4370
Ca Be Te I
1 1 1 2
Cartesian
0.0000 0.0000 0.0000
2.6270 2.6270 2.7185
2.6270 2.6270 0.0000
0.0000 2.6270 2.7185
2.6270 0.0000 2.7185
```

Computed properties:
total magnetization: 0.000 μB/cell
relative energy among the computed polymorphs: 0 meV per atom
space group: P4/mmm (123)

# 13
Computed, not measured: an optimized crystal structure of CaBeZn2I at the PBE-GGA level of DFT.

Cell and atoms, written as POSCAR:
```
CaBeZn2I
1.0
5.9494 0.0000 0.0000
0.0000 5.9494 0.0000
0.0000 0.0000 5.6685
Ca Be Zn I
1 1 2 1
Cartesian
0.0000 0.0000 0.0000
0.0000 0.0000 2.8342
0.0000 2.9747 0.0000
2.9747 0.0000 0.0000
2.9747 2.9747 2.8342
```

Computed properties:
total magnetization: 0.000 μB/cell
space group: P4/mmm (123)
electronic total energy: -5.81 eV/cell

# 14
Computed, not measured: an optimized crystal structure of CaZrBe2I at the PBE-GGA level of DFT.

Cell and atoms, written as POSCAR:
```
CaZrBe2I
1.0
5.1887 0.0000 0.0000
0.0000 5.1887 0.0000
0.0000 0.0000 5.3678
Ca Zr Be I
1 1 2 1
Cartesian
0.0000 0.0000 0.0000
0.0000 0.0000 2.6839
0.0000 2.5944 0.0000
2.5944 0.0000 0.0000
2.5944 2.5944 2.6839
```

Computed properties:
total magnetization: 0.000 μB/cell
space group: P4/mmm (123)
electronic total energy: -10.90 eV/cell